SrMn3Cu at its PBEsol-relaxed geometry. Source: Alexandria, functional SCAN.

Lattice parameters (Å, degrees): 4.6885 4.6885 4.6885 90.00 90.00 90.00
With the nearest neighbours (Å) after each atom.
Space group Pm-3m (No. 221)
One atom of each set of equivalent atoms:
Sr: 0.0000 0.0000 0.0000 [1 per cell]  12 Mn 3.32
Mn: 0.0000 0.5000 0.5000 [3 per cell]  2 Cu 2.34
Cu: 0.5000 0.5000 0.5000 [1 per cell]  6 Mn 2.34

Output
Crystal system ... cubic
ΔE_f ... 0.296 eV per atom

---

LiMnBO3 at its PBEsol-relaxed geometry. Source: Alexandria, functional SCAN.

Lattice parameters (Å, degrees): 9.2397 3.1624 9.1118 90.00 90.00 90.00
With the nearest neighbours (Å) after each atom.
Space group Pnma (No. 62)
One atom of each set of equivalent atoms:
Li: 0.1904 0.2500 0.1435 [4 per cell]  4 O 1.91-2.13
Mn: 0.0583 0.2500 0.6998 [4 per cell]  5 O 2.08-2.11
B: 0.2223 0.2500 0.4058 [4 per cell]  3 O 1.37-1.40
O: 0.0882 0.2500 0.3346 [4 per cell]  1 B 1.40
O: 0.1558 0.7500 0.8176 [4 per cell]  1 B 1.38
O: 0.2329 0.2500 0.5560 [4 per cell]  1 B 1.37

Output
Energy above the most stable polymorph in this dataset ... 56 meV/atom
Crystal system ... orthorhombic
Formation energy from raw total energies ... -2.34 eV/atom

---

Pt2C at its PBEsol-relaxed geometry. Source: Alexandria, functional SCAN.

Lattice parameters (Å, degrees): 12.6534 2.9127 5.0930 90.00 109.59 90.00
With the nearest neighbours (Å) after each atom.
Space group C2/m (No. 12)
One atom of each set of equivalent atoms:
Pt: 0.0833 0.0000 0.2430 [4 per cell]  2 C 1.98
Pt: 0.1625 0.0000 0.8036 [4 per cell]  2 C 1.98
C: 0.1276 0.5000 0.5232 [4 per cell]  4 Pt 1.98

Output
Energy above the most stable polymorph in this dataset ... 144 meV/atom
Crystal system ... monoclinic
ΔE_f ... 0.757 eV per atom

---

K2BaBBr at its PBEsol-relaxed geometry. Source: Alexandria, functional SCAN.

Lattice parameters (Å, degrees): 5.3702 5.3702 8.0851 90.00 90.00 90.00
With the nearest neighbours (Å) after each atom.
Space group P4/mmm (No. 123)
One atom of each set of equivalent atoms:
K: 0.0000 0.5000 0.0000 [2 per cell]  2 B 2.69
Ba: 0.0000 0.0000 0.5000 [1 per cell]  4 Br 3.80
B: 0.5000 0.5000 0.0000 [1 per cell]  4 K 2.69
Br: 0.5000 0.5000 0.5000 [1 per cell]  4 Ba 3.80, 2 B 4.04

Output
Crystal system ... tetragonal
Formation energy from raw total energies ... 0.41 eV/atom

---

GaCuBr4 at its PBEsol-relaxed geometry. Source: Alexandria, functional SCAN.

Lattice parameters (Å, degrees): 5.7095 5.7095 10.4148 90.00 90.00 90.00
With the nearest neighbours (Å) after each atom.
Space group P-42c (No. 112)
One atom of each set of equivalent atoms:
Ga: 0.0000 0.5000 0.2500 [2 per cell]  4 Br 2.36
Cu: 0.0000 0.0000 0.0000 [2 per cell]  4 Br 2.41
Br: 0.2444 0.2631 0.3779 [8 per cell]  1 Ga 2.36, 1 Cu 2.41

Output
Crystal system ... tetragonal
Formation energy from raw total energies ... -0.70 eV/atom

---

Ta2AgRh at its PBEsol-relaxed geometry. Source: Alexandria, functional SCAN.

Lattice parameters (Å, degrees): 2.8202 4.0543 5.5996 90.00 90.67 90.00
With the nearest neighbours (Å) after each atom.
Space group P2/m (No. 10)
One atom of each set of equivalent atoms:
Ta: 0.0042 0.0000 0.2610 [2 per cell]  4 Ta 2.68-2.92, 4 Rh 2.79-2.82, 4 Ag 2.87
Ag: 0.5000 0.5000 0.0000 [1 per cell]  2 Rh 2.80, 2 Ag 2.82, 8 Ta 2.87
Rh: 0.5000 0.5000 0.5000 [1 per cell]  8 Ta 2.79-2.82, 2 Ag 2.80, 2 Rh 2.82

Output
Crystal system ... monoclinic
ΔE_f ... -0.087 eV per atom

---

Tl2Mo9S11 at its PBEsol-relaxed geometry. Source: Alexandria, functional SCAN.

Lattice parameters (Å, degrees): 9.1803 9.1803 35.0467 90.00 90.00 120.00
With the nearest neighbours (Å) after each atom.
Space group R-3 (No. 148, hexagonal axes)
One atom of each set of equivalent atoms:
Tl: 0.0000 0.0000 0.1680 [6 per cell]  4 S 2.91-3.25
Tl: 0.0000 0.0000 0.2698 [6 per cell]  4 S 2.89-3.05
Mo: 0.0131 0.1745 0.4692 [18 per cell]  4 S 2.39-2.56, 4 Mo 2.65-2.68
Mo: 0.0163 0.1752 0.5957 [18 per cell]  5 S 2.38-2.58, 2 Mo 2.67
Mo: 0.0163 0.1774 0.0331 [18 per cell]  5 S 2.40-2.45
S: 0.0000 0.0000 0.0850 [6 per cell]  3 Mo 2.40
S: 0.0000 0.0000 0.3524 [6 per cell]  3 Mo 2.38
S: 0.0136 0.3702 0.1989 [18 per cell]  4 Mo 2.46-2.58
S: 0.0153 0.3785 0.0776 [18 per cell]  4 Mo 2.39-2.44
S: 0.0146 0.3808 0.6403 [18 per cell]  4 Mo 2.41-2.46

Output
Energy above the most stable polymorph in this dataset ... 4 meV/atom
Crystal system ... trigonal
Formation energy from raw total energies ... -0.71 eV/atom

---

MgSiBr2 at its PBEsol-relaxed geometry. Source: Alexandria, functional SCAN.

Lattice parameters (Å, degrees): 3.3604 6.1486 9.1510 90.00 90.00 90.00
With the nearest neighbours (Å) after each atom.
Space group Immm (No. 71)
One atom of each set of equivalent atoms:
Mg: 0.0000 0.0000 0.0000 [2 per cell]  4 Br 2.59
Si: 0.0000 0.0000 0.5000 [2 per cell]  4 Br 3.09, 2 Si 3.36
Br: 0.0000 0.5000 0.2839 [4 per cell]  2 Mg 2.59

Output
Energy above the most stable polymorph in this dataset ... 184 meV/atom
Crystal system ... orthorhombic
Formation energy from raw total energies ... -0.15 eV/atom

---

GaCoPd3 at its PBEsol-relaxed geometry. Source: Alexandria, functional SCAN.

Lattice parameters (Å, degrees): 4.4957 4.4957 4.4957 90.00 90.00 90.00
With the nearest neighbours (Å) after each atom.
Space group Pm-3m (No. 221)
One atom of each set of equivalent atoms:
Ga: 0.0000 0.0000 0.0000 [1 per cell]  6 Pd 2.25
Co: 0.5000 0.5000 0.5000 [1 per cell]  12 Pd 3.18
Pd: 0.0000 0.0000 0.5000 [3 per cell]  2 Ga 2.25

Output
Crystal system ... cubic
ΔE_f ... 0.533 eV per atom

---

NaZrAs2 at its PBEsol-relaxed geometry. Source: Alexandria, functional SCAN.

Lattice parameters (Å, degrees): 6.0284 6.0284 13.8848 90.00 90.00 90.00
With the nearest neighbours (Å) after each atom.
Space group I-42d (No. 122)
One atom of each set of equivalent atoms:
Na: 0.0000 0.0000 0.0000 [4 per cell]  4 As 2.98
Zr: 0.0000 0.0000 0.5000 [4 per cell]  4 As 2.56
As: 0.1851 0.2500 0.6250 [8 per cell]  2 Zr 2.56

Output
Crystal system ... tetragonal
ΔE_f ... -0.321 eV per atom

---

SbAsCl2 at its PBEsol-relaxed geometry. Source: Alexandria, functional SCAN.

Lattice parameters (Å, degrees): 3.0640 3.0640 8.8436 90.00 90.00 90.00
With the nearest neighbours (Å) after each atom.
Space group P4/mmm (No. 123)
One atom of each set of equivalent atoms:
Sb: 0.0000 0.0000 0.0000 [1 per cell]  4 Sb 3.06, 8 Cl 3.14
As: 0.0000 0.0000 0.5000 [1 per cell]  8 Cl 3.06, 4 As 3.06
Cl: 0.5000 0.5000 0.2564 [2 per cell]  4 As 3.06, 4 Cl 3.06, 4 Sb 3.14

Output
Energy above the most stable polymorph in this dataset ... 285 meV/atom
Crystal system ... tetragonal
Formation energy from raw total energies ... 0.27 eV/atom

---

Na3VP2O9 at its PBEsol-relaxed geometry. Source: Alexandria, functional SCAN.

Lattice parameters (Å, degrees): 6.2284 6.3868 9.5880 90.00 108.12 90.00
With the nearest neighbours (Å) after each atom.
Space group P2_1/m (No. 11)
One atom of each set of equivalent atoms:
Na: 0.0889 0.2500 0.3039 [2 per cell]  3 O 2.22-2.23
Na: 0.3881 0.0136 0.6612 [4 per cell]  4 O 2.26-2.51
V: 0.2142 0.2500 0.9215 [2 per cell]  1 O 1.63
P: 0.1564 0.7500 0.4048 [2 per cell]  4 O 1.54-1.61
P: 0.2577 0.7500 0.0023 [2 per cell]  4 O 1.54-1.55
O: 0.0857 0.7500 0.0889 [2 per cell]  1 P 1.55
O: 0.1004 0.2500 0.7031 [2 per cell]  1 P 1.61
O: 0.1462 0.7500 0.5633 [2 per cell]  1 P 1.54
O: 0.2175 0.5569 0.9006 [4 per cell]  1 P 1.54
O: 0.2740 0.5500 0.3774 [4 per cell]  1 P 1.54
O: 0.3229 0.2500 0.0993 [2 per cell]  1 V 1.63
O: 0.4942 0.7500 0.1186 [2 per cell]  1 P 1.55

Output
Energy above the most stable polymorph in this dataset ... 0 meV/atom
Crystal system ... monoclinic
Formation energy from raw total energies ... -2.46 eV/atom

---

Number 1: D(E_F) 3.44 states/eV per cell, magnetic moment 12.9 μB per cell. Number 2: D(E_F) 0.00 states/eV per cell, magnetic moment 20.0 μB per cell. Number 3: D(E_F) 4.05 states/eV per cell, magnetic moment 0.0 μB per cell. Number 4: D(E_F) 2.37 states/eV per cell, magnetic moment 1.3 μB per cell. Number 5: D(E_F) 0.00 states/eV per cell, magnetic moment 0.2 μB per cell. Number 6: D(E_F) 2.69 states/eV per cell, magnetic moment 0.0 μB per cell. Number 7: D(E_F) 61.12 states/eV per cell, magnetic moment 0.0 μB per cell. Number 8: D(E_F) 2.49 states/eV per cell, magnetic moment 0.0 μB per cell. Number 9: D(E_F) 2.95 states/eV per cell, magnetic moment 2.1 μB per cell. Number 10: D(E_F) 11.30 states/eV per cell, magnetic moment 2.5 μB per cell. Number 11: D(E_F) 2.18 states/eV per cell, magnetic moment 0.0 μB per cell. Number 12: D(E_F) 2.42 states/eV per cell, magnetic moment 0.0 μB per cell.